No. 1
A relaxed structure of TbMgAg, computed with PBE.

CIF file:
```
data_TbMgAg
_chemical_formula_sum 'Tb3 Mg3 Ag3'
_space_group_name_H-M_alt 'P -6 2 m'
_space_group_IT_number 189
_space_group_name_Hall 'P -6 -2'
_cell_length_a 7.8317
_cell_length_b 7.8317
_cell_length_c 4.0371
_cell_angle_alpha 90.00
_cell_angle_beta 90.00
_cell_angle_gamma 120.00
loop_
_atom_site_label
_atom_site_fract_x
_atom_site_fract_y
_atom_site_fract_z
Tb1 0.0000 0.4122 0.0000
Mg1 0.0000 0.7516 0.5000
Ag1 0.0000 0.0000 0.0000
Ag2 0.3333 0.6667 0.5000
```

The calculation puts the spin magnetization at 0.00 μB per atom. For the total energy, the calculation gives -3.293 eV/atom. The crystal system is hexagonal.

***

No. 2
A relaxed structure of Tb4MgAg2, computed with PBE.

CIF file:
```
data_Tb4MgAg2
_chemical_formula_sum 'Tb12 Mg3 Ag6'
_space_group_name_H-M_alt 'R -3 m'
_space_group_IT_number 166
_space_group_name_Hall '-R 3 2"'
_cell_length_a 5.1805
_cell_length_b 5.1805
_cell_length_c 24.5620
_cell_angle_alpha 90.00
_cell_angle_beta 90.00
_cell_angle_gamma 120.00
loop_
_atom_site_label
_atom_site_fract_x
_atom_site_fract_y
_atom_site_fract_z
Tb1 0.0000 0.0000 0.1139
Tb2 0.0000 0.0000 0.3673
Mg1 0.0000 0.0000 0.5000
Ag1 0.0000 0.0000 0.2419
```

The calculation puts the spin magnetization at 0.00 μB per atom. For the total energy, the calculation gives -3.772 eV/atom. The crystal system is trigonal.